# 1
Here is a geometry-optimized NdPBr structure from Alexandria. Energies are from PBE.

Offset from the most stable computed form: 34 meV per atom
Energy relative to the elements, uncorrected: -1365 meV/atom
Calculated volume: 86.3 Å³/f.u.
Crystal system: orthorhombic
E_tot: -255.128 eV for the cell shown

Unit cell a=11.705 b=13.010 c=9.073 alpha=90.00 beta=90.00 gamma=90.00
Space group Fdd2 (No. 43)
Unique sites:
Nd1 0.028 0.298 0.000
P1 0.095 0.010 0.466
Br1 0.124 0.080 0.050

---

# 2
Here is a geometry-optimized MnSnSeN2 structure from Alexandria. Energies are from PBE.

Offset from the most stable computed form: 0 meV per atom
Energy relative to the elements, uncorrected: 609 meV/atom
Calculated volume: 77.1 Å³/f.u.
Crystal system: tetragonal
E_tot: -30.264 eV for the cell shown

Unit cell a=3.819 b=3.819 c=5.288 alpha=90.00 beta=90.00 gamma=90.00
Space group P4/mmm (No. 123)
Unique sites:
Mn1 0.000 0.000 0.000
Sn1 0.500 0.500 0.500
Se1 0.000 0.000 0.500
N1 0.000 0.500 0.000

---

# 3
Here is a geometry-optimized CaEuHfTiO6 structure from Alexandria. Energies are from PBE.

Energy relative to the elements, uncorrected: -3179 meV/atom
Calculated volume: 129.3 Å³/f.u.
Crystal system: cubic
E_tot: -366.670 eV for the cell shown

Unit cell a=8.027 b=8.027 c=8.027 alpha=90.00 beta=90.00 gamma=90.00
Space group F-43m (No. 216)
Unique sites:
Ca1 0.000 0.000 0.000
Eu1 0.000 0.000 0.500
Hf1 0.250 0.250 0.250
Ti1 0.250 0.250 0.750
O1 0.006 0.250 0.750

---

Copy entry 1 word for word.
Here is a geometry-optimized NdPBr structure from Alexandria. Energies are from PBE.

Offset from the most stable computed form: 34 meV per atom
Energy relative to the elements, uncorrected: -1365 meV/atom
Calculated volume: 86.3 Å³/f.u.
Crystal system: orthorhombic
E_tot: -255.128 eV for the cell shown

Unit cell a=11.705 b=13.010 c=9.073 alpha=90.00 beta=90.00 gamma=90.00
Space group Fdd2 (No. 43)
Unique sites:
Nd1 0.028 0.298 0.000
P1 0.095 0.010 0.466
Br1 0.124 0.080 0.050

---

- Number 2 is which compound?
  MnSnSeN2

---

- Among the records above, which one has the lowest energy relative to the elements, uncorrected?
  CaEuHfTiO6